Record 1
Material: YZrMo2
Method: DFT, PBE
State: optimized geometry

Properties
crystal system = monoclinic
formation enthalpy at 0 K = 1.6 eV/f.u.

The structure in CIF format:
```
data_YZrMo2
_chemical_formula_sum 'Y2 Zr2 Mo4'
_space_group_name_H-M_alt 'C 1 2/m 1'
_space_group_IT_number 12
_cell_length_a 6.058
_cell_length_b 9.341
_cell_length_c 2.966
_cell_angle_alpha 90.00
_cell_angle_beta 109.77
_cell_angle_gamma 90.00
loop_
_space_group_symop_operation_xyz
'x,y,z'
'-x,-y,-z'
'-x,y,-z'
'x,-y,z'
'x+1/2,y+1/2,z'
'-x+1/2,-y+1/2,-z'
'-x+1/2,y+1/2,-z'
'x+1/2,-y+1/2,z'
loop_
_atom_site_label
_atom_site_fract_x
_atom_site_fract_y
_atom_site_fract_z
Y1 0.000 0.000 0.000
Zr1 0.000 0.500 0.000
Mo1 0.250 0.250 0.500
```


Record 2
Material: YZrMo2
Method: DFT, PBE
State: optimized geometry

Properties
crystal system = orthorhombic
formation enthalpy at 0 K = 1.6 eV/f.u.

The structure in CIF format:
```
data_YZrMo2
_chemical_formula_sum 'Y2 Zr2 Mo4'
_space_group_name_H-M_alt 'I m m m'
_space_group_IT_number 71
_space_group_name_Hall '-I 2 2'
_cell_length_a 3.400
_cell_length_b 4.980
_cell_length_c 9.355
_cell_angle_alpha 90.00
_cell_angle_beta 90.00
_cell_angle_gamma 90.00
loop_
_atom_site_label
_atom_site_fract_x
_atom_site_fract_y
_atom_site_fract_z
Y1 0.000 0.000 0.000
Zr1 0.000 0.000 0.500
Mo1 0.000 0.500 0.242
```


Record 3
Material: YZrMo2
Method: DFT, PBE
State: optimized geometry

Properties
crystal system = tetragonal
formation enthalpy at 0 K = 1.1 eV/f.u.

The structure in CIF format:
```
data_YZrMo2
_chemical_formula_sum 'Y1 Zr1 Mo2'
_space_group_name_H-M_alt 'P 4/m m m'
_space_group_IT_number 123
_space_group_name_Hall '-P 4 2'
_cell_length_a 3.662
_cell_length_b 3.662
_cell_length_c 6.536
_cell_angle_alpha 90.00
_cell_angle_beta 90.00
_cell_angle_gamma 90.00
loop_
_atom_site_label
_atom_site_fract_x
_atom_site_fract_y
_atom_site_fract_z
Y1 0.000 0.000 0.000
Zr1 0.000 0.000 0.500
Mo1 0.500 0.500 0.312
```


Record 4
Material: YZrMo2
Method: DFT, PBE
State: optimized geometry

Properties
crystal system = orthorhombic
formation enthalpy at 0 K = 2.0 eV/f.u.

The structure in CIF format:
```
data_YZrMo2
_chemical_formula_sum 'Y2 Zr2 Mo4'
_space_group_name_H-M_alt 'C m m m'
_space_group_IT_number 65
_space_group_name_Hall '-C 2 2'
_cell_length_a 5.823
_cell_length_b 9.751
_cell_length_c 2.815
_cell_angle_alpha 90.00
_cell_angle_beta 90.00
_cell_angle_gamma 90.00
loop_
_atom_site_label
_atom_site_fract_x
_atom_site_fract_y
_atom_site_fract_z
Y1 0.000 0.000 0.000
Zr1 0.000 0.500 0.000
Mo1 0.250 0.250 0.500
```


Record 5
Material: YZrMo2
Method: DFT, PBE
State: optimized geometry

Properties
crystal system = orthorhombic
formation enthalpy at 0 K = 0.6 eV/f.u.

The structure in CIF format:
```
data_YZrMo2
_chemical_formula_sum 'Y2 Zr2 Mo4'
_space_group_name_H-M_alt 'I m m 2'
_space_group_IT_number 44
_cell_length_a 3.371
_cell_length_b 4.935
_cell_length_c 9.960
_cell_angle_alpha 90.00
_cell_angle_beta 90.00
_cell_angle_gamma 90.00
loop_
_space_group_symop_operation_xyz
'x,y,z'
'-x,-y,z'
'-x,y,z'
'x,-y,z'
'x+1/2,y+1/2,z+1/2'
'-x+1/2,-y+1/2,z+1/2'
'-x+1/2,y+1/2,z+1/2'
'x+1/2,-y+1/2,z+1/2'
loop_
_atom_site_label
_atom_site_fract_x
_atom_site_fract_y
_atom_site_fract_z
Y1 0.000 0.000 0.000
Zr1 0.000 0.500 0.773
Mo1 0.000 0.000 0.543
Mo2 0.000 0.500 0.232
```


Record 6
Material: YZrMo2
Method: DFT, PBE
State: optimized geometry

Properties
crystal system = trigonal
formation enthalpy at 0 K = 1.4 eV/f.u.

The structure in CIF format:
```
data_YZrMo2
_chemical_formula_sum 'Y3 Zr3 Mo6'
_space_group_name_H-M_alt 'R 3 m'
_space_group_IT_number 160
_space_group_name_Hall 'R 3 -2"'
_cell_length_a 3.1831
_cell_length_b 3.1831
_cell_length_c 28.4938
_cell_angle_alpha 90.00
_cell_angle_beta 90.00
_cell_angle_gamma 120.00
loop_
_atom_site_label
_atom_site_fract_x
_atom_site_fract_y
_atom_site_fract_z
Y1 0.0000 0.0000 0.0000
Zr1 0.0000 0.0000 0.7689
Mo1 0.0000 0.0000 0.2463
Mo2 0.0000 0.0000 0.5143
```


Record 7
Material: YZrMo2
Method: DFT, PBE
State: optimized geometry

Properties
crystal system = monoclinic
formation enthalpy at 0 K = 1.0 eV/f.u.

The structure in CIF format:
```
data_YZrMo2
_chemical_formula_sum 'Y1 Zr1 Mo2'
_space_group_name_H-M_alt 'P 1 m 1'
_space_group_IT_number 6
_cell_length_a 3.179
_cell_length_b 4.357
_cell_length_c 6.146
_cell_angle_alpha 90.00
_cell_angle_beta 102.82
_cell_angle_gamma 90.00
loop_
_space_group_symop_operation_xyz
'x,y,z'
'x,-y,z'
loop_
_atom_site_label
_atom_site_fract_x
_atom_site_fract_y
_atom_site_fract_z
Y1 0.000 0.000 0.000
Zr1 0.715 0.500 0.314
Mo1 0.280 0.500 0.728
Mo2 0.456 0.000 0.541
```


Record 8
Material: Y4ZrMo
Method: DFT, PBE
State: optimized geometry

Properties
crystal system = cubic
formation enthalpy at 0 K = 5.3 eV/f.u.

The structure in CIF format:
```
data_Y4ZrMo
_chemical_formula_sum 'Y16 Zr4 Mo4'
_space_group_name_H-M_alt 'F -4 3 m'
_space_group_IT_number 216
_space_group_name_Hall 'F -4 2 3'
_cell_length_a 8.625
_cell_length_b 8.625
_cell_length_c 8.625
_cell_angle_alpha 90.00
_cell_angle_beta 90.00
_cell_angle_gamma 90.00
loop_
_atom_site_label
_atom_site_fract_x
_atom_site_fract_y
_atom_site_fract_z
Y1 0.125 0.125 0.125
Zr1 0.250 0.250 0.750
Mo1 0.000 0.000 0.500
```


Record 9
Material: YZrMo2
Method: DFT, PBE
State: optimized geometry

Properties
crystal system = tetragonal
formation enthalpy at 0 K = 0.4 eV/f.u.

The structure in CIF format:
```
data_YZrMo2
_chemical_formula_sum 'Y1 Zr1 Mo2'
_space_group_name_H-M_alt 'P 4 m m'
_space_group_IT_number 99
_cell_length_a 3.247
_cell_length_b 3.247
_cell_length_c 8.003
_cell_angle_alpha 90.00
_cell_angle_beta 90.00
_cell_angle_gamma 90.00
loop_
_space_group_symop_operation_xyz
'x,y,z'
'-y,x,z'
'-x,-y,z'
'y,-x,z'
'-x,y,z'
'y,x,z'
'x,-y,z'
'-y,-x,z'
loop_
_atom_site_label
_atom_site_fract_x
_atom_site_fract_y
_atom_site_fract_z
Y1 0.000 0.000 0.000
Zr1 0.500 0.500 0.342
Mo1 0.000 0.000 0.564
Mo2 0.500 0.500 0.738
```


Record 10
Material: Yb3Mo
Method: DFT, PBE
State: optimized geometry

Properties
crystal system = cubic
formation enthalpy at 0 K = 1.7 eV/f.u.

The structure in CIF format:
```
data_Yb3Mo
_chemical_formula_sum 'Yb12 Mo4'
_space_group_name_H-M_alt 'F m -3 m'
_space_group_IT_number 225
_space_group_name_Hall '-F 4 2 3'
_cell_length_a 7.511
_cell_length_b 7.511
_cell_length_c 7.511
_cell_angle_alpha 90.00
_cell_angle_beta 90.00
_cell_angle_gamma 90.00
loop_
_atom_site_label
_atom_site_fract_x
_atom_site_fract_y
_atom_site_fract_z
Yb1 0.000 0.000 0.000
Yb2 0.250 0.250 0.250
Mo1 0.000 0.000 0.500
```


Record 11
Material: ZnMo7
Method: DFT, PBE
State: optimized geometry

Properties
crystal system = cubic
formation enthalpy at 0 K = 2.3 eV/f.u.

The structure in CIF format:
```
data_ZnMo7
_chemical_formula_sum 'Zn4 Mo28'
_space_group_name_H-M_alt 'F m -3 m'
_space_group_IT_number 225
_space_group_name_Hall '-F 4 2 3'
_cell_length_a 7.956
_cell_length_b 7.956
_cell_length_c 7.956
_cell_angle_alpha 90.00
_cell_angle_beta 90.00
_cell_angle_gamma 90.00
loop_
_atom_site_label
_atom_site_fract_x
_atom_site_fract_y
_atom_site_fract_z
Zn1 0.000 0.000 0.000
Mo1 0.000 0.000 0.500
Mo2 0.000 0.250 0.250
```


Record 12
Material: ZnMo2
Method: DFT, PBE
State: optimized geometry

Properties
crystal system = orthorhombic
formation enthalpy at 0 K = 0.5 eV/f.u.

The structure in CIF format:
```
data_ZnMo2
_chemical_formula_sum 'Zn4 Mo8'
_space_group_name_H-M_alt 'P n m a'
_space_group_IT_number 62
_cell_length_a 5.438
_cell_length_b 4.335
_cell_length_c 7.880
_cell_angle_alpha 90.00
_cell_angle_beta 90.00
_cell_angle_gamma 90.00
loop_
_space_group_symop_operation_xyz
'x,y,z'
'-x,-y,-z'
'-x+1/2,-y,z+1/2'
'x+1/2,y,-z+1/2'
'x+1/2,-y+1/2,-z+1/2'
'-x+1/2,y+1/2,z+1/2'
'-x,y+1/2,-z'
'x,-y+1/2,z'
loop_
_atom_site_label
_atom_site_fract_x
_atom_site_fract_y
_atom_site_fract_z
Zn1 0.169 0.250 0.074
Mo1 0.031 0.250 0.729
Mo2 0.171 0.250 0.408
```